No. 1
{"formula": "TeI4", "functional": "PBE", "state": "optimized geometry", "spacegroup": "No. 221", "dos_ef_per_ev_atom": 1.386, "density_g_cm3": 4.85, "e_form_raw_ev_per_atom": 0.174, "relative_energy_mev_per_atom": 277.8, "cell": [[6.015, 0.000, 0.000], [0.000, 6.015, 0.000], [0.000, 0.000, 6.015]], "species": ["Te", "I", "I", "I", "I"], "fractional_positions": [[0.000, 0.000, 0.000], [0.000, 0.000, 0.500], [0.000, 0.500, 0.000], [0.500, 0.000, 0.000], [0.500, 0.500, 0.500]]}

=====

No. 2
{"formula": "TeI2", "functional": "PBE", "state": "optimized geometry", "spacegroup": "No. 12", "dos_ef_per_ev_atom": 0.020, "density_g_cm3": 4.12, "e_form_raw_ev_per_atom": -0.008, "relative_energy_mev_per_atom": 43.2, "cell": [[17.722, 0.000, 0.000], [0.000, 4.187, 0.000], [-0.129, 0.000, 8.282]], "species": ["Te", "Te", "Te", "Te", "I", "I", "I", "I", "I", "I", "I", "I"], "fractional_positions": [[0.134, 0.000, 0.078], [0.366, 0.500, 0.922], [0.634, 0.500, 0.078], [0.866, 0.000, 0.922], [0.101, 0.500, 0.829], [0.167, 0.500, 0.329], [0.333, 0.000, 0.671], [0.399, 0.000, 0.171], [0.601, 0.000, 0.829], [0.667, 0.000, 0.329], [0.833, 0.500, 0.671], [0.899, 0.500, 0.171]]}

=====

No. 3
{"formula": "TeI2", "functional": "PBE", "state": "optimized geometry", "spacegroup": "No. 1", "density_g_cm3": 3.72, "e_form_raw_ev_per_atom": -0.051, "relative_energy_mev_per_atom": 0.0, "cell": [[6.747, 0.000, 0.000], [3.352, 5.914, 0.000], [0.951, 2.018, 8.525]], "species": ["Te", "Te", "I", "I", "I", "I"], "fractional_positions": [[0.000, 0.000, 0.000], [0.009, 0.694, 0.292], [0.175, 0.251, 0.633], [0.592, 0.139, 0.851], [0.601, 0.954, 0.432], [0.952, 0.373, 0.143]]}

=====

No. 4
{"formula": "TeI3", "functional": "PBE", "state": "optimized geometry", "spacegroup": "No. 225", "dos_ef_per_ev_atom": 1.134, "density_g_cm3": 6.33, "e_form_raw_ev_per_atom": 0.472, "relative_energy_mev_per_atom": 375.2, "cell": [[8.109, 0.000, 0.000], [0.000, 8.109, 0.000], [0.000, 0.000, 8.109]], "species": ["Te", "Te", "Te", "Te", "I", "I", "I", "I", "I", "I", "I", "I", "I", "I", "I", "I"], "fractional_positions": [[0.000, 0.000, 0.000], [0.000, 0.500, 0.500], [0.500, 0.000, 0.500], [0.500, 0.500, 0.000], [0.000, 0.000, 0.500], [0.000, 0.500, 0.000], [0.250, 0.250, 0.250], [0.250, 0.250, 0.750], [0.250, 0.750, 0.250], [0.250, 0.750, 0.750], [0.500, 0.000, 0.000], [0.500, 0.500, 0.500], [0.750, 0.250, 0.250], [0.750, 0.250, 0.750], [0.750, 0.750, 0.250], [0.750, 0.750, 0.750]]}

=====

No. 5
{"formula": "TeI2", "functional": "PBE", "state": "optimized geometry", "spacegroup": "No. 1", "dos_ef_per_ev_atom": 0.270, "density_g_cm3": 4.00, "e_form_raw_ev_per_atom": -0.023, "relative_energy_mev_per_atom": 27.8, "cell": [[5.803, 0.000, 0.000], [-0.507, 6.849, 0.000], [-0.245, -0.552, 7.959]], "species": ["Te", "Te", "I", "I", "I", "I"], "fractional_positions": [[0.000, 0.000, 0.000], [0.002, 0.248, 0.360], [0.003, 0.601, 0.191], [0.460, 0.289, 0.478], [0.490, 0.106, 0.977], [0.962, 0.830, 0.663]]}

=====

No. 6
{"formula": "TeI", "functional": "PBE", "state": "optimized geometry", "spacegroup": "No. 1", "dos_ef_per_ev_atom": 0.028, "density_g_cm3": 4.49, "e_form_raw_ev_per_atom": 0.010, "relative_energy_mev_per_atom": 82.6, "cell": [[6.126, 0.000, 0.000], [-0.165, 7.862, 0.000], [-1.320, -2.933, 7.821]], "species": ["Te", "Te", "Te", "Te", "I", "I", "I", "I"], "fractional_positions": [[0.000, 0.000, 0.000], [0.051, 0.740, 0.372], [0.297, 0.725, 0.719], [0.775, 0.730, 0.045], [0.076, 0.432, 0.751], [0.345, 0.052, 0.314], [0.646, 0.039, 0.725], [0.727, 0.456, 0.315]]}

=====

No. 7
{"formula": "TeI4", "functional": "PBE", "state": "optimized geometry", "spacegroup": "No. 62", "density_g_cm3": 4.31, "e_form_raw_ev_per_atom": -0.104, "relative_energy_mev_per_atom": 0.0, "cell": [[14.712, 0.000, 0.000], [0.000, 17.363, 0.000], [0.000, 0.000, 15.339]], "species": ["Te", "Te", "Te", "Te", "Te", "Te", "Te", "Te", "Te", "Te", "Te", "Te", "Te", "Te", "Te", "Te", "I", "I", "I", "I", "I", "I", "I", "I", "I", "I", "I", "I", "I", "I", "I", "I", "I", "I", "I", "I", "I", "I", "I", "I", "I", "I", "I", "I", "I", "I", "I", "I", "I", "I", "I", "I", "I", "I", "I", "I", "I", "I", "I", "I", "I", "I", "I", "I", "I", "I", "I", "I", "I", "I", "I", "I", "I", "I", "I", "I", "I", "I", "I", "I"], "fractional_positions": [[0.171, 0.111, 0.172], [0.171, 0.389, 0.172], [0.173, 0.250, 0.434], [0.180, 0.250, 0.908], [0.320, 0.750, 0.408], [0.327, 0.750, 0.934], [0.329, 0.611, 0.672], [0.329, 0.889, 0.672], [0.671, 0.111, 0.328], [0.671, 0.389, 0.328], [0.673, 0.250, 0.066], [0.680, 0.250, 0.592], [0.820, 0.750, 0.092], [0.827, 0.750, 0.566], [0.829, 0.611, 0.828], [0.829, 0.889, 0.828], [0.042, 0.250, 0.781], [0.048, 0.250, 0.263], [0.054, 0.001, 0.247], [0.054, 0.499, 0.247], [0.057, 0.119, 0.016], [0.057, 0.381, 0.016], [0.061, 0.132, 0.510], [0.061, 0.368, 0.510], [0.194, 0.750, 0.065], [0.207, 0.503, 0.601], [0.207, 0.997, 0.601], [0.208, 0.750, 0.592], [0.212, 0.632, 0.339], [0.212, 0.868, 0.339], [0.213, 0.624, 0.836], [0.213, 0.876, 0.836], [0.287, 0.124, 0.336], [0.287, 0.376, 0.336], [0.288, 0.132, 0.839], [0.288, 0.368, 0.839], [0.292, 0.250, 0.092], [0.293, 0.003, 0.101], [0.293, 0.497, 0.101], [0.306, 0.250, 0.565], [0.439, 0.632, 0.010], [0.439, 0.868, 0.010], [0.443, 0.619, 0.516], [0.443, 0.881, 0.516], [0.446, 0.501, 0.747], [0.446, 0.999, 0.747], [0.452, 0.750, 0.763], [0.458, 0.750, 0.281], [0.542, 0.250, 0.719], [0.548, 0.250, 0.237], [0.554, 0.001, 0.253], [0.554, 0.499, 0.253], [0.557, 0.119, 0.484], [0.557, 0.381, 0.484], [0.561, 0.132, 0.990], [0.561, 0.368, 0.990], [0.694, 0.750, 0.435], [0.707, 0.503, 0.899], [0.707, 0.997, 0.899], [0.708, 0.750, 0.908], [0.712, 0.632, 0.161], [0.712, 0.868, 0.161], [0.713, 0.624, 0.664], [0.713, 0.876, 0.664], [0.787, 0.124, 0.164], [0.787, 0.376, 0.164], [0.788, 0.132, 0.661], [0.788, 0.368, 0.661], [0.792, 0.250, 0.408], [0.793, 0.003, 0.399], [0.793, 0.497, 0.399], [0.806, 0.250, 0.935], [0.939, 0.632, 0.490], [0.939, 0.868, 0.490], [0.943, 0.619, 0.984], [0.943, 0.881, 0.984], [0.946, 0.501, 0.753], [0.946, 0.999, 0.753], [0.952, 0.750, 0.737], [0.958, 0.750, 0.219]]}

=====

No. 8
{"formula": "TeI", "functional": "PBE", "state": "optimized geometry", "spacegroup": "No. 2", "density_g_cm3": 4.56, "e_form_raw_ev_per_atom": -0.057, "relative_energy_mev_per_atom": 15.2, "cell": [[8.406, 0.000, 0.000], [1.563, 8.792, 0.000], [0.048, 2.354, 10.040]], "species": ["Te", "Te", "Te", "Te", "Te", "Te", "Te", "Te", "I", "I", "I", "I", "I", "I", "I", "I"], "fractional_positions": [[0.010, 0.023, 0.184], [0.200, 0.265, 0.138], [0.293, 0.783, 0.268], [0.483, 0.021, 0.185], [0.517, 0.979, 0.815], [0.707, 0.217, 0.732], [0.800, 0.735, 0.862], [0.990, 0.977, 0.816], [0.184, 0.363, 0.379], [0.209, 0.244, 0.798], [0.295, 0.715, 0.932], [0.297, 0.744, 0.544], [0.703, 0.256, 0.456], [0.705, 0.285, 0.068], [0.791, 0.756, 0.202], [0.816, 0.637, 0.621]]}

=====

No. 9
{"formula": "TeI2", "functional": "PBE", "state": "optimized geometry", "spacegroup": "No. 4", "density_g_cm3": 5.00, "e_form_raw_ev_per_atom": -0.035, "relative_energy_mev_per_atom": 16.8, "cell": [[7.192, 0.000, 0.000], [0.000, 4.418, 0.000], [-2.250, 0.000, 7.978]], "species": ["Te", "Te", "I", "I", "I", "I"], "fractional_positions": [[0.102, 0.000, 0.433], [0.898, 0.500, 0.567], [0.161, 0.507, 0.887], [0.371, 0.513, 0.278], [0.629, 0.013, 0.722], [0.839, 0.007, 0.113]]}

=====

No. 10
{"formula": "Te6I5", "functional": "PBE", "state": "optimized geometry", "spacegroup": "No. 12", "dos_ef_per_ev_atom": 0.372, "density_g_cm3": 4.62, "e_form_raw_ev_per_atom": 0.076, "cell": [[5.883, -7.129, 0.000], [5.883, 7.129, 0.000], [-5.526, 0.000, 6.002]], "species": ["Te", "Te", "Te", "Te", "Te", "Te", "I", "I", "I", "I", "I"], "fractional_positions": [[0.149, 0.149, 0.222], [0.229, 0.425, 0.142], [0.425, 0.229, 0.142], [0.575, 0.771, 0.858], [0.771, 0.575, 0.858], [0.851, 0.851, 0.778], [0.000, 0.000, 0.500], [0.209, 0.791, 0.500], [0.342, 0.658, 0.000], [0.658, 0.342, 0.000], [0.791, 0.209, 0.500]]}

=====

No. 11
{"formula": "TeI4", "functional": "PBE", "state": "optimized geometry", "spacegroup": "No. 31", "dos_ef_per_ev_atom": 0.000, "density_g_cm3": 4.18, "e_form_raw_ev_per_atom": -0.101, "relative_energy_mev_per_atom": 2.6, "cell": [[17.210, 0.000, 0.000], [0.000, 7.635, 0.000], [0.000, 0.000, 15.350]], "species": ["Te", "Te", "Te", "Te", "Te", "Te", "Te", "Te", "I", "I", "I", "I", "I", "I", "I", "I", "I", "I", "I", "I", "I", "I", "I", "I", "I", "I", "I", "I", "I", "I", "I", "I", "I", "I", "I", "I", "I", "I", "I", "I"], "fractional_positions": [[0.000, 0.135, 0.000], [0.000, 0.239, 0.479], [0.141, 0.199, 0.741], [0.359, 0.801, 0.241], [0.500, 0.761, 0.979], [0.500, 0.865, 0.500], [0.641, 0.801, 0.241], [0.859, 0.199, 0.741], [0.000, 0.416, 0.847], [0.000, 0.535, 0.370], [0.000, 0.845, 0.113], [0.000, 0.984, 0.650], [0.119, 0.329, 0.090], [0.120, 0.055, 0.398], [0.127, 0.940, 0.891], [0.131, 0.450, 0.596], [0.245, 0.598, 0.324], [0.248, 0.970, 0.662], [0.252, 0.030, 0.162], [0.255, 0.402, 0.824], [0.369, 0.550, 0.096], [0.373, 0.060, 0.391], [0.380, 0.945, 0.898], [0.381, 0.671, 0.590], [0.500, 0.016, 0.150], [0.500, 0.155, 0.613], [0.500, 0.465, 0.870], [0.500, 0.584, 0.347], [0.619, 0.671, 0.590], [0.620, 0.945, 0.898], [0.627, 0.060, 0.391], [0.631, 0.550, 0.096], [0.745, 0.402, 0.824], [0.748, 0.030, 0.162], [0.752, 0.970, 0.662], [0.755, 0.598, 0.324], [0.869, 0.450, 0.596], [0.873, 0.940, 0.891], [0.880, 0.055, 0.398], [0.881, 0.329, 0.090]]}

=====

No. 12
{"formula": "TeI2", "functional": "PBE", "state": "optimized geometry", "spacegroup": "No. 6", "dos_ef_per_ev_atom": 0.287, "density_g_cm3": 4.07, "e_form_raw_ev_per_atom": -0.027, "relative_energy_mev_per_atom": 24.4, "cell": [[6.985, 0.000, 0.000], [0.000, 5.746, 0.000], [-0.098, 0.000, 7.763]], "species": ["Te", "Te", "I", "I", "I", "I"], "fractional_positions": [[0.000, 0.000, 0.000], [0.392, 0.000, 0.805], [0.057, 0.500, 0.103], [0.185, 0.000, 0.492], [0.499, 0.500, 0.768], [0.625, 0.000, 0.166]]}